Entry 1:
A plane-wave DFT calculation with PBE was carried out for CePaAl4 after structural relaxation.

Unit cell a=7.8567 b=7.8567 c=7.8567 alpha=90.00 beta=90.00 gamma=90.00
With the nearest neighbours (Å) after each atom.
Space group F-43m (No. 216)
Inequivalent atoms, fractional coordinates:
Ce (0.0000, 0.0000, 0.0000) (multiplicity 4)  12 Al 3.26, 4 Pa 3.40
Pa (0.2500, 0.2500, 0.2500) (multiplicity 4)  12 Al 3.26, 4 Ce 3.40
Al (0.1246, 0.1246, 0.6246) (multiplicity 16)  6 Al 2.77-2.79

Magnetic moment ... 2.9 Bohr magnetons per cell
Calculated volume ... 20.21 A^3/atom
Calculated formation energy ... -0.359 eV per atom

Entry 2:
A plane-wave DFT calculation with PBE was carried out for Tb7Dy3Ho after structural relaxation.

Unit cell a=6.9553 b=5.5217 c=9.8815 alpha=90.00 beta=110.55 gamma=90.00
With the nearest neighbours (Å) after each atom.
Space group P2/m (No. 10)
Inequivalent atoms, fractional coordinates:
Tb (0.0000, 0.0000, 0.0000) (multiplicity 1)  4 Dy 3.38
Tb (0.1453, 0.5000, 0.2910) (multiplicity 2)  3 Tb 3.23-3.54, 2 Dy 3.32
Tb (0.3208, 0.5000, 0.6404) (multiplicity 2)  5 Tb 3.23-3.54, 2 Ho 3.51, 2 Dy 3.51
Tb (0.4150, 0.0000, 0.8299) (multiplicity 2)  3 Tb 3.15-3.27, 1 Ho 3.51, 3 Dy 3.51-3.53
Dy (0.0000, 0.0000, 0.5000) (multiplicity 1)  2 Ho 3.48, 10 Tb 3.51-3.79
Dy (0.2800, 0.5000, 0.9998) (multiplicity 2)  1 Dy 3.06, 4 Tb 3.32-3.38
Ho (0.5000, 0.0000, 0.5000) (multiplicity 1)  2 Dy 3.48, 10 Tb 3.51-3.79

Magnetic moment ... 0.0 Bohr magnetons per cell
Calculated volume ... 32.30 A^3/atom
ΔE to the lowest computed polymorph ... 0.00 kJ/mol of atoms
Calculated formation energy ... 0.139 eV per atom

Entry 3:
A plane-wave DFT calculation with PBE was carried out for DyZrTcPt after structural relaxation.

Unit cell a=6.7589 b=6.7589 c=6.7589 alpha=90.00 beta=90.00 gamma=90.00
With the nearest neighbours (Å) after each atom.
Space group F-43m (No. 216)
Inequivalent atoms, fractional coordinates:
Dy (0.0000, 0.0000, 0.0000) (multiplicity 4)  4 Tc 2.93, 4 Pt 2.93
Zr (0.0000, 0.0000, 0.5000) (multiplicity 4)  4 Tc 2.93, 4 Pt 2.93
Tc (0.2500, 0.2500, 0.2500) (multiplicity 4)  4 Zr 2.93, 4 Dy 2.93
Pt (0.2500, 0.2500, 0.7500) (multiplicity 4)  4 Zr 2.93, 4 Dy 2.93

Magnetic moment ... 0.0 Bohr magnetons per cell
Calculated volume ... 19.30 A^3/atom
Calculated formation energy ... -0.616 eV per atom

Entry 4:
A plane-wave DFT calculation with PBE was carried out for Pu4H4Pb3 after structural relaxation.

Unit cell a=7.5587 b=7.5587 c=7.5587 alpha=90.00 beta=90.00 gamma=90.00
With the nearest neighbours (Å) after each atom.
Space group I-43m (No. 217)
Inequivalent atoms, fractional coordinates:
Pu (0.1791, 0.1791, 0.1791) (multiplicity 8)  4 H 2.37-2.57
H (0.1246, 0.1246, 0.8754) (multiplicity 8)  4 Pu 2.37-2.57
Pb (0.0000, 0.0000, 0.5000) (multiplicity 6)  4 Pu 3.09, 4 H 3.13

Magnetic moment ... 41.5 Bohr magnetons per cell
Raw total energy ... -7.61 eV/atom
Calculated volume ... 19.63 A^3/atom

Entry 5:
A plane-wave DFT calculation with PBE was carried out for ZrGa3Hg after structural relaxation.

Unit cell a=5.3417 b=5.3417 c=5.3417 alpha=90.00 beta=90.00 gamma=90.00
With the nearest neighbours (Å) after each atom.
Space group Pm-3m (No. 221)
Inequivalent atoms, fractional coordinates:
Zr (0.0000, 0.0000, 0.0000) (multiplicity 1)  6 Ga 2.67
Ga (0.0000, 0.0000, 0.5000) (multiplicity 3)  2 Zr 2.67
Hg (0.5000, 0.5000, 0.5000) (multiplicity 1)  12 Ga 3.78

Magnetic moment ... 0.0 Bohr magnetons per cell
Calculated volume ... 30.48 A^3/atom
ΔE to the lowest computed polymorph ... 0.00 kJ/mol of atoms
Calculated formation energy ... 0.546 eV per atom

Entry 6:
A plane-wave DFT calculation with PBE was carried out for Ba2InCoAs after structural relaxation.

Unit cell a=5.5699 b=5.5699 c=4.9669 alpha=90.00 beta=90.00 gamma=90.00
With the nearest neighbours (Å) after each atom.
Space group P4/mmm (No. 123)
Inequivalent atoms, fractional coordinates:
Ba (0.0000, 0.5000, 0.0000) (multiplicity 2)  2 Co 2.78
In (0.0000, 0.0000, 0.5000) (multiplicity 1)  2 Co 2.48
Co (0.0000, 0.0000, 0.0000) (multiplicity 1)  2 In 2.48
As (0.5000, 0.5000, 0.5000) (multiplicity 1)  8 Ba 3.73, 4 In 3.94

Magnetic moment ... 0.0 Bohr magnetons per cell
Calculated volume ... 30.82 A^3/atom
Calculated formation energy ... -0.164 eV per atom

Entry 7:
A plane-wave DFT calculation with PBE was carried out for AcBiPbBr after structural relaxation.

Unit cell a=8.1188 b=8.1188 c=8.1188 alpha=90.00 beta=90.00 gamma=90.00
With the nearest neighbours (Å) after each atom.
Space group F-43m (No. 216)
Inequivalent atoms, fractional coordinates:
Ac (0.0000, 0.0000, 0.0000) (multiplicity 4)  4 Bi 3.52, 4 Br 3.52
Bi (0.2500, 0.2500, 0.2500) (multiplicity 4)  4 Ac 3.52, 4 Pb 3.52
Pb (0.0000, 0.0000, 0.5000) (multiplicity 4)  4 Br 3.52, 4 Bi 3.52
Br (0.2500, 0.2500, 0.7500) (multiplicity 4)  4 Ac 3.52, 4 Pb 3.52

Magnetic moment ... 0.0 Bohr magnetons per cell
Raw total energy ... -4.04 eV/atom
Calculated volume ... 33.45 A^3/atom

Entry 8:
A plane-wave DFT calculation with PBE was carried out for Nd4CdOs after structural relaxation.

Unit cell a=14.0648 b=14.0648 c=14.0648 alpha=90.00 beta=90.00 gamma=90.00
With the nearest neighbours (Å) after each atom.
Space group F-43m (No. 216)
Inequivalent atoms, fractional coordinates:
Nd (0.0000, 0.0000, 0.1912) (multiplicity 24)  2 Os 2.85
Nd (0.0590, 0.2500, 0.2500) (multiplicity 24)  2 Cd 3.41, 10 Nd 3.55-3.80, 2 Os 3.56
Nd (0.1543, 0.1543, 0.6543) (multiplicity 16)  3 Os 2.94
Cd (0.0793, 0.0793, 0.4207) (multiplicity 16)  3 Cd 3.15, 3 Nd 3.41
Os (0.1380, 0.1380, 0.8620) (multiplicity 16)  6 Nd 2.85-2.94

Magnetic moment ... 0.0 Bohr magnetons per cell
Calculated volume ... 28.98 A^3/atom
ΔE to the lowest computed polymorph ... 0.00 kJ/mol of atoms
Calculated formation energy ... -0.202 eV per atom

Entry 9:
A plane-wave DFT calculation with PBE was carried out for AcSBr2O4 after structural relaxation.

Unit cell a=6.4446 b=8.9650 c=24.2041 alpha=90.00 beta=90.00 gamma=90.00
With the nearest neighbours (Å) after each atom.
Space group Fddd (No. 70, origin choice 2)
Inequivalent atoms, fractional coordinates:
Ac (0.1250, 0.1250, 0.1250) (multiplicity 8)  4 O 2.60
S (0.1250, 0.1250, 0.6250) (multiplicity 8)  4 O 1.50
Br (0.1250, 0.1250, 0.2549) (multiplicity 16)  2 Br 2.77
O (0.0167, 0.2777, 0.8417) (multiplicity 32)  1 S 1.50

Magnetic moment ... 0.0 Bohr magnetons per cell
Raw total energy ... -5.63 eV/atom
Calculated volume ... 21.85 A^3/atom

Entry 10:
A plane-wave DFT calculation with PBE was carried out for CaHoLu after structural relaxation.

Unit cell a=3.5950 b=3.5950 c=15.4248 alpha=90.00 beta=90.00 gamma=90.00
With the nearest neighbours (Å) after each atom.
Space group I4mm (No. 107)
Inequivalent atoms, fractional coordinates:
Ca (0.0000, 0.0000, 0.0000) (multiplicity 2)  4 Ca 3.60, 4 Lu 3.72, 4 Ho 3.75
Ho (0.0000, 0.0000, 0.3213) (multiplicity 2)  4 Lu 3.39, 4 Ho 3.60, 4 Ca 3.75
Lu (0.0000, 0.0000, 0.6760) (multiplicity 2)  4 Ho 3.39, 4 Lu 3.60, 4 Ca 3.72

Magnetic moment ... 0.0 Bohr magnetons per cell
Calculated volume ... 33.23 A^3/atom
ΔE to the lowest computed polymorph ... 0.00 kJ/mol of atoms
Calculated formation energy ... 0.090 eV per atom

Entry 11:
A plane-wave DFT calculation with PBE was carried out for GaCNF2 after structural relaxation.

Unit cell a=4.6969 b=4.6969 c=2.4733 alpha=90.00 beta=90.00 gamma=90.00
With the nearest neighbours (Å) after each atom.
Space group P4/mmm (No. 123)
Inequivalent atoms, fractional coordinates:
Ga (0.0000, 0.0000, 0.0000) (multiplicity 1)  2 Ga 2.47, 8 F 2.65
C (0.5000, 0.5000, 0.5000) (multiplicity 1)  2 N 1.24
N (0.5000, 0.5000, 0.0000) (multiplicity 1)  2 C 1.24
F (0.0000, 0.5000, 0.5000) (multiplicity 2)  2 C 2.35, 2 F 2.47

Magnetic moment ... 0.0 Bohr magnetons per cell
Calculated volume ... 10.91 A^3/atom
ΔE to the lowest computed polymorph ... 0.00 kJ/mol of atoms

Entry 12:
A plane-wave DFT calculation with PBE was carried out for NaMn2I5 after structural relaxation.

Unit cell a=14.1027 b=7.9516 c=7.4812 alpha=90.00 beta=120.27 gamma=90.00
With the nearest neighbours (Å) after each atom.
Space group Cm (No. 8)
Inequivalent atoms, fractional coordinates:
Na (0.0000, 0.0000, 0.0000) (multiplicity 2)  5 I 3.00-3.14
Mn (0.3751, 0.0000, 0.8366) (multiplicity 2)  5 I 2.79-2.95
Mn (0.4604, 0.5000, 0.4248) (multiplicity 2)  5 I 2.78-2.97
I (0.1700, 0.0000, 0.4759) (multiplicity 2)  2 Mn 2.78-2.79
I (0.3534, 0.2510, 0.0832) (multiplicity 4)  2 Mn 2.84-2.97, 1 Na 3.14
I (0.4867, 0.2372, 0.6996) (multiplicity 4)  2 Mn 2.82-2.95, 1 Na 3.00

Magnetic moment ... 20.0 Bohr magnetons per cell
Raw total energy ... -3.92 eV/atom
Calculated volume ... 45.29 A^3/atom

Entry 13:
A plane-wave DFT calculation with PBE was carried out for In2Re4F after structural relaxation.

Unit cell a=4.1587 b=4.1587 c=14.0696 alpha=90.00 beta=90.00 gamma=90.00
With the nearest neighbours (Å) after each atom.
Space group I4/mmm (No. 139)
Inequivalent atoms, fractional coordinates:
In (0.0000, 0.0000, 0.1472) (multiplicity 4)  9 Re 2.69-2.95
Re (0.0000, 0.0000, 0.3386) (multiplicity 4)  1 F 2.27
Re (0.0000, 0.5000, 0.0000) (multiplicity 4)  2 F 2.08
F (0.0000, 0.0000, 0.5000) (multiplicity 2)  6 Re 2.08-2.27

Magnetic moment ... 2.9 Bohr magnetons per cell
Raw total energy ... -6.75 eV/atom
Calculated volume ... 17.38 A^3/atom

Entry 14:
A plane-wave DFT calculation with PBE was carried out for PmSi2IrPt2 after structural relaxation.

Unit cell a=4.0600 b=4.0600 c=14.6982 alpha=90.00 beta=90.00 gamma=90.00
With the nearest neighbours (Å) after each atom.
Space group I4/mmm (No. 139)
Inequivalent atoms, fractional coordinates:
Pm (0.0000, 0.0000, 0.0000) (multiplicity 2)  4 Ir 2.87
Si (0.0000, 0.0000, 0.3420) (multiplicity 4)  1 Ir 2.32, 4 Pt 2.44
Ir (0.0000, 0.0000, 0.5000) (multiplicity 2)  2 Si 2.32
Pt (0.0000, 0.5000, 0.2500) (multiplicity 4)  4 Si 2.44

Magnetic moment ... 0.0 Bohr magnetons per cell
Raw total energy ... -6.82 eV/atom
Calculated volume ... 20.19 A^3/atom

Entry 15:
A plane-wave DFT calculation with PBE was carried out for Ac3CoB2N6 after structural relaxation.

Unit cell a=5.5473 b=5.5473 c=6.4763 alpha=90.00 beta=90.00 gamma=120.00
With the nearest neighbours (Å) after each atom.
Space group P-3m1 (No. 164)
Inequivalent atoms, fractional coordinates:
Ac (0.0000, 0.0000, 0.0000) (multiplicity 1)  6 N 2.56
Ac (0.3333, 0.6667, 0.6765) (multiplicity 2)  1 B 2.61, 9 N 2.78-2.89
Co (0.0000, 0.0000, 0.5000) (multiplicity 1)  6 N 2.20
B (0.3333, 0.6667, 0.2732) (multiplicity 2)  3 N 1.48
N (0.1803, 0.3605, 0.2917) (multiplicity 6)  1 B 1.48

Magnetic moment ... 3.0 Bohr magnetons per cell
Raw total energy ... -7.65 eV/atom
Calculated volume ... 14.38 A^3/atom